No. 1
! GGA-PBE Ir2PdPt, optimized geometry; values from VASP
! Crystal system   cubic
&SYSTEM
  ibrav = 0, nat = 4, ntyp = 3
/
ATOMIC_SPECIES
Ir 192.22 Ir.upf
Pd 106.42 Pd.upf
Pt 195.08 Pt.upf
ATOMIC_POSITIONS crystal
Ir 0.250 0.250 0.250
Ir 0.750 0.750 0.750
Pd 0.000 0.000 0.000
Pt 0.500 0.500 0.500
CELL_PARAMETERS angstrom
0.000 3.124 3.124
3.124 0.000 3.124
3.124 3.124 0.000

---

No. 2
! GGA-PBE IrPdPt, optimized geometry; values from VASP
! Crystal system   monoclinic
&SYSTEM
  ibrav = 0, nat = 12, ntyp = 3
/
ATOMIC_SPECIES
Ir 192.22 Ir.upf
Pd 106.42 Pd.upf
Pt 195.08 Pt.upf
ATOMIC_POSITIONS crystal
Ir 0.000 0.970 0.000
Ir 0.000 0.470 0.500
Ir 0.000 0.306 0.000
Ir 0.000 0.806 0.500
Pd 0.500 0.972 0.500
Pd 0.500 0.472 0.000
Pd 0.500 0.640 0.500
Pd 0.500 0.140 0.000
Pt 0.000 0.640 0.000
Pt 0.000 0.140 0.500
Pt 0.500 0.309 0.500
Pt 0.500 0.809 0.000
CELL_PARAMETERS angstrom
-1.513 2.371 3.879
-7.525 0.912 -3.493
-0.832 -4.699 0.566

---

No. 3
! GGA-PBE IrPdPt, optimized geometry; values from VASP
! Crystal system   monoclinic
&SYSTEM
  ibrav = 0, nat = 12, ntyp = 3
/
ATOMIC_SPECIES
Ir 192.22 Ir.upf
Pd 106.42 Pd.upf
Pt 195.08 Pt.upf
ATOMIC_POSITIONS crystal
Ir 0.000 0.258 0.000
Ir 0.000 0.758 0.500
Ir 0.500 0.606 0.500
Ir 0.500 0.106 0.000
Pd 0.500 0.268 0.500
Pd 0.500 0.768 0.000
Pd 0.500 0.932 0.500
Pd 0.500 0.432 0.000
Pt 0.000 0.934 0.000
Pt 0.000 0.434 0.500
Pt 0.000 0.598 0.000
Pt 0.000 0.098 0.500
CELL_PARAMETERS angstrom
4.804 0.000 -0.009
0.000 8.331 0.000
-1.603 0.000 4.537

---

Energy above the most stable polymorph in this dataset
In order: 0.256 0.018 0.030
Unit: eV per atom
Calculated formation energy
In order: 0.391 0.069 0.081
Unit: eV per atom
Total moment
In order: 0.00 0.00 0.00
Unit: Bohr magnetons per cell